HoZrSc4 | PBE | relaxed

The structure in POSCAR format:
```
HoZrSc4
1.0
5.203 0.000 0.000
0.000 1.663 8.735
0.000 -1.663 8.735
Ho Zr Sc
1 1 4
direct
0.000 0.000 0.000 Ho
0.500 0.778 0.778 Zr
0.000 0.330 0.330 Sc
0.000 0.670 0.670 Sc
0.500 0.117 0.117 Sc
0.500 0.437 0.437 Sc
```

Values from the calculation:
Fermi-level density of states	1.63	states/eV per atom
magnetization	0.0	μB per formula unit
E_form	0.01	eV per atom
space-group type	Amm2, No. 38
polymorph energy (0 for the lowest one)	0	meV per atom
density	4.8	Mg/m³